# 1
The following is a PBE calculation of GePdSe2O after structural relaxation, from Alexandria via LeMat-Bulk.

Structure (POSCAR):
```
GePdSe2O
1.0
4.456 0.000 0.000
0.000 4.456 0.000
0.000 0.000 4.444
Ge Pd Se O
1 1 2 1
Direct
0.000 0.000 0.000
0.500 0.500 0.000
0.000 0.500 0.500
0.500 0.000 0.500
0.000 0.000 0.500
```

Summary:
- calculated density (g/cm³) = 6.644
- VASP energy (eV per cell) = -20.366
- raw formation energy (eV per atom) = 0.274
- V (Å³ per atom) = 17.6

# 2
The following is a PBE calculation of BeCr2Si2 after structural relaxation, from Alexandria via LeMat-Bulk.

Structure (POSCAR):
```
BeCr2Si2
1.0
6.033 0.000 0.000
0.000 6.033 0.000
0.000 0.000 3.169
Be Cr Si
2 4 4
Direct
0.000 0.000 0.000
0.500 0.500 0.000
0.167 0.333 0.500
0.333 0.833 0.500
0.667 0.167 0.500
0.833 0.667 0.500
0.136 0.636 0.000
0.364 0.136 0.000
0.636 0.864 0.000
0.864 0.364 0.000
```

Summary:
- calculated density (g/cm³) = 4.870
- VASP energy (eV per cell) = -69.015
- raw formation energy (eV per atom) = -0.138
- V (Å³ per atom) = 11.5

# 3
The following is a PBE calculation of AcPm4Tm6 after structural relaxation, from Alexandria via LeMat-Bulk.

Structure (POSCAR):
```
AcPm4Tm6
1.0
-3.791 3.791 6.776
3.791 -3.791 6.776
3.791 3.791 -6.776
Ac Pm Tm
1 4 6
Direct
0.000 0.000 0.000
0.048 0.048 0.477
0.429 0.952 0.000
0.571 0.571 0.523
0.952 0.429 0.000
0.000 0.500 0.500
0.263 0.575 0.000
0.425 0.425 0.689
0.500 0.000 0.500
0.575 0.263 0.000
0.737 0.737 0.311
```

Summary:
- formation enthalpy at 0 K (eV/atom) = 0.366
- calculated density (g/cm³) = 7.763
- VASP energy (eV per cell) = -45.917
- V (Å³ per atom) = 35.4

# 4
The following is a PBE calculation of ZrMn2Cd after structural relaxation, from Alexandria via LeMat-Bulk.

Structure (POSCAR):
```
ZrMn2Cd
1.0
4.708 -1.538 0.000
4.708 1.538 0.000
-1.238 0.000 5.002
Zr Mn Cd
1 2 1
Direct
0.000 0.000 0.000
0.249 0.249 0.758
0.751 0.751 0.242
0.500 0.500 0.500
```

Summary:
- formation enthalpy at 0 K (eV/atom) = 0.274
- calculated density (g/cm³) = 7.184
- VASP energy (eV per cell) = -26.705
- V (Å³ per atom) = 18.1

# 5
The following is a PBE calculation of MgSiPd after structural relaxation, from Alexandria via LeMat-Bulk.

Structure (POSCAR):
```
MgSiPd
1.0
-1.626 1.626 4.595
1.626 -1.626 4.595
1.626 1.626 -4.595
Mg Si Pd
1 1 1
Direct
0.000 0.000 0.000
0.690 0.690 0.000
0.308 0.308 0.000
```

Summary:
- calculated density (g/cm³) = 5.424
- VASP energy (eV per cell) = -13.481
- raw formation energy (eV per atom) = -0.424
- V (Å³ per atom) = 16.2

# 6
The following is a PBE calculation of Dy7Pt2Au2 after structural relaxation, from Alexandria via LeMat-Bulk.

Structure (POSCAR):
```
Dy7Pt2Au2
1.0
4.057 -5.366 0.000
4.057 5.366 0.000
0.000 0.000 7.087
Dy Pt Au
7 2 2
Direct
0.000 0.000 0.000
0.000 0.500 0.258
0.000 0.500 0.742
0.500 0.000 0.258
0.500 0.000 0.742
0.500 0.500 0.254
0.500 0.500 0.746
0.284 0.716 0.000
0.716 0.284 0.000
0.205 0.205 0.500
0.795 0.795 0.500
```

Summary:
- formation enthalpy at 0 K (eV/atom) = -0.642
- calculated density (g/cm³) = 10.341
- VASP energy (eV per cell) = -57.914
- V (Å³ per atom) = 28.1

# 7
The following is a PBE calculation of NbNi4Os after structural relaxation, from Alexandria via LeMat-Bulk.

Structure (POSCAR):
```
NbNi4Os
1.0
0.000 3.334 3.334
3.334 0.000 3.334
3.334 3.334 0.000
Nb Ni Os
1 4 1
Direct
0.000 0.000 0.000
0.127 0.624 0.624
0.624 0.127 0.624
0.624 0.624 0.127
0.624 0.624 0.624
0.250 0.250 0.250
```

Summary:
- formation enthalpy at 0 K (eV/atom) = -0.131
- calculated density (g/cm³) = 11.607
- VASP energy (eV per cell) = -45.213
- V (Å³ per atom) = 12.3

# 8
The following is a PBE calculation of RbTeF2 after structural relaxation, from Alexandria via LeMat-Bulk.

Structure (POSCAR):
```
RbTeF2
1.0
0.000 3.539 3.539
3.539 0.000 3.539
3.539 3.539 0.000
Rb Te F
1 1 2
Direct
0.000 0.000 0.000
0.500 0.500 0.500
0.250 0.250 0.250
0.750 0.750 0.750
```

Summary:
- calculated density (g/cm³) = 4.704
- VASP energy (eV per cell) = -12.656
- raw formation energy (eV per atom) = -1.201
- V (Å³ per atom) = 22.2

# 9
The following is a PBE calculation of Sc2CoAs after structural relaxation, from Alexandria via LeMat-Bulk.

Structure (POSCAR):
```
Sc2CoAs
1.0
3.911 0.000 0.000
0.000 1.803 4.972
0.000 -1.803 4.972
Sc Co As
2 1 1
Direct
0.000 0.000 0.000
0.500 0.287 0.287
0.000 0.727 0.727
0.500 0.571 0.571
```

Summary:
- formation enthalpy at 0 K (eV/atom) = -0.816
- calculated density (g/cm³) = 5.299
- VASP energy (eV per cell) = -27.681
- V (Å³ per atom) = 17.5

# 10
The following is a PBE calculation of TbPr2ThSb4 after structural relaxation, from Alexandria via LeMat-Bulk.

Structure (POSCAR):
```
TbPr2ThSb4
1.0
7.790 0.000 0.000
0.000 4.513 0.000
-2.604 0.000 7.372
Tb Pr Th Sb
1 2 1 4
Direct
0.000 0.000 0.000
0.000 0.500 0.500
0.500 0.000 0.500
0.500 0.500 0.000
0.245 0.500 0.242
0.249 0.000 0.756
0.751 0.000 0.244
0.755 0.500 0.758
```

Summary:
- calculated density (g/cm³) = 7.431
- VASP energy (eV per cell) = -47.124
- raw formation energy (eV per atom) = -1.128
- V (Å³ per atom) = 32.4

# 11
The following is a PBE calculation of LiPrThZn after structural relaxation, from Alexandria via LeMat-Bulk.

Structure (POSCAR):
```
LiPrThZn
1.0
0.000 3.706 3.706
3.706 0.000 3.706
3.706 3.706 0.000
Li Pr Th Zn
1 1 1 1
Direct
0.000 0.000 0.000
0.250 0.250 0.250
0.750 0.750 0.750
0.500 0.500 0.500
```

Summary:
- formation enthalpy at 0 K (eV/atom) = -0.015
- calculated density (g/cm³) = 7.262
- VASP energy (eV per cell) = -15.446
- V (Å³ per atom) = 25.5

# 12
The following is a PBE calculation of NdHo2Mg2Cd2 after structural relaxation, from Alexandria via LeMat-Bulk.

Structure (POSCAR):
```
NdHo2Mg2Cd2
1.0
2.532 1.462 8.512
-2.532 1.462 8.512
0.000 -2.924 8.512
Nd Ho Mg Cd
1 2 2 2
Direct
0.000 0.000 0.000
0.129 0.129 0.129
0.871 0.871 0.871
0.265 0.265 0.265
0.735 0.735 0.735
0.407 0.407 0.407
0.593 0.593 0.593
```

Summary:
- formation enthalpy at 0 K (eV/atom) = -0.099
- calculated density (g/cm³) = 6.567
- VASP energy (eV per cell) = -19.633
- V (Å³ per atom) = 27.0

# 13
The following is a PBE calculation of Pm6Rh2O after structural relaxation, from Alexandria via LeMat-Bulk.

Structure (POSCAR):
```
Pm6Rh2O
1.0
6.525 -1.877 0.000
6.525 1.877 0.000
-3.990 0.000 10.250
Pm Rh O
6 2 1
Direct
0.011 0.011 0.279
0.188 0.188 0.607
0.350 0.350 0.948
0.650 0.650 0.052
0.812 0.812 0.393
0.989 0.989 0.721
0.324 0.324 0.192
0.676 0.676 0.808
0.000 0.000 0.500
```

Summary:
- calculated density (g/cm³) = 7.219
- VASP energy (eV per cell) = -55.798
- raw formation energy (eV per atom) = -0.848
- V (Å³ per atom) = 27.9

# 14
The following is a PBE calculation of B4C after structural relaxation, from Alexandria via LeMat-Bulk.

Structure (POSCAR):
```
B4C
1.0
-1.370 7.630 1.955
1.370 -7.630 1.955
1.370 7.630 -1.955
B C
8 2
Direct
0.000 0.000 0.000
0.087 0.855 0.232
0.345 0.401 0.945
0.399 0.013 0.386
0.456 0.401 0.055
0.624 0.855 0.768
0.627 0.013 0.614
0.674 0.174 0.500
0.480 0.186 0.294
0.892 0.186 0.706
```

Summary:
- formation enthalpy at 0 K (eV/atom) = 0.352
- calculated density (g/cm³) = 2.245
- VASP energy (eV per cell) = -68.342
- V (Å³ per atom) = 8.2

# 15
The following is a PBE calculation of Dy3Sn3Au after structural relaxation, from Alexandria via LeMat-Bulk.

Structure (POSCAR):
```
Dy3Sn3Au
1.0
5.652 -2.259 0.000
5.652 2.259 0.000
-4.869 0.000 14.169
Dy Sn Au
6 6 2
Direct
0.020 0.020 0.377
0.101 0.101 0.925
0.229 0.229 0.229
0.771 0.771 0.771
0.899 0.899 0.075
0.980 0.980 0.623
0.360 0.360 0.458
0.373 0.373 0.924
0.496 0.496 0.774
0.504 0.504 0.226
0.627 0.627 0.076
0.640 0.640 0.542
0.273 0.273 0.621
0.727 0.727 0.379
```

Summary:
- formation enthalpy at 0 K (eV/atom) = -0.728
- calculated density (g/cm³) = 9.551
- VASP energy (eV per cell) = -68.377
- V (Å³ per atom) = 25.8

# 16
The following is a PBE calculation of MnTl3Ni after structural relaxation, from Alexandria via LeMat-Bulk.

Structure (POSCAR):
```
MnTl3Ni
1.0
5.083 0.000 0.000
0.000 5.083 0.000
0.000 0.000 5.083
Mn Tl Ni
1 3 1
Direct
0.000 0.000 0.000
0.000 0.500 0.500
0.500 0.000 0.500
0.500 0.500 0.000
0.500 0.500 0.500
```

Summary:
- formation enthalpy at 0 K (eV/atom) = 0.526
- calculated density (g/cm³) = 9.188
- VASP energy (eV per cell) = -19.418
- V (Å³ per atom) = 26.3

# 17
The following is a PBE calculation of Dy11Er9Th4 after structural relaxation, from Alexandria via LeMat-Bulk.

Structure (POSCAR):
```
Dy11Er9Th4
1.0
8.350 -12.553 0.000
8.350 12.553 0.000
0.000 0.000 3.669
Dy Er Th
11 9 4
Direct
0.000 0.000 0.000
0.046 0.408 0.000
0.159 0.841 0.000
0.283 0.283 0.000
0.363 0.637 0.000
0.408 0.046 0.000
0.592 0.954 0.000
0.637 0.363 0.000
0.717 0.717 0.000
0.841 0.159 0.000
0.954 0.592 0.000
0.065 0.211 0.500
0.162 0.635 0.500
0.211 0.065 0.500
0.365 0.838 0.500
0.500 0.500 0.500
0.635 0.162 0.500
0.789 0.935 0.500
0.838 0.365 0.500
0.935 0.789 0.500
0.245 0.445 0.500
0.445 0.245 0.500
0.555 0.755 0.500
0.755 0.555 0.500
```

Summary:
- formation enthalpy at 0 K (eV/atom) = 0.110
- calculated density (g/cm³) = 9.111
- VASP energy (eV per cell) = -118.718
- V (Å³ per atom) = 32.1

# 18
The following is a PBE calculation of Ce2YNbN4 after structural relaxation, from Alexandria via LeMat-Bulk.

Structure (POSCAR):
```
Ce2YNbN4
1.0
5.900 0.000 0.000
0.000 3.398 0.000
-1.954 0.000 5.630
Ce Y Nb N
2 1 1 4
Direct
0.000 0.000 0.000
0.500 0.500 0.000
0.000 0.500 0.500
0.500 0.000 0.500
0.262 0.000 0.732
0.271 0.500 0.274
0.729 0.500 0.726
0.738 0.000 0.268
```

Summary:
- calculated density (g/cm³) = 7.621
- VASP energy (eV per cell) = -73.157
- raw formation energy (eV per atom) = -1.432
- V (Å³ per atom) = 14.1

# 19
The following is a PBE calculation of GaFeSiHN after structural relaxation, from Alexandria via LeMat-Bulk.

Structure (POSCAR):
```
GaFeSiHN
1.0
2.519 -1.447 0.000
2.519 1.447 0.000
-0.054 0.000 6.660
Ga Fe Si H N
1 1 1 1 1
Direct
0.000 0.000 0.000
0.670 0.670 0.265
0.328 0.328 0.569
0.659 0.659 0.484
0.996 0.996 0.699
```

Summary:
- calculated density (g/cm³) = 5.770
- VASP energy (eV per cell) = -29.189
- V (Å³ per atom) = 9.7

# 20
The following is a PBE calculation of ScAl2AgPd2 after structural relaxation, from Alexandria via LeMat-Bulk.

Structure (POSCAR):
```
ScAl2AgPd2
1.0
4.423 0.000 0.000
-2.211 3.830 0.000
0.000 0.000 5.919
Sc Al Ag Pd
1 2 1 2
Direct
0.000 0.000 0.000
0.333 0.667 0.706
0.667 0.333 0.294
0.000 0.000 0.500
0.333 0.667 0.250
0.667 0.333 0.750
```

Summary:
- formation enthalpy at 0 K (eV/atom) = -0.665
- calculated density (g/cm³) = 6.950
- VASP energy (eV per cell) = -31.041
- V (Å³ per atom) = 16.7